# TbDyCBr

TbDyCBr after structural relaxation (PBE, the Alexandria database).

Computed properties:
The symmetry is R3m, No. 160. As for the uncorrected formation energy: -0.947 eV per atom.

Cell: 3.6843 3.6844 7.4683 Å, 90.00 104.28 120.00°
Fractional positions:
Br (0.9665, 0.3814, 0.3628)
C (0.3070, 0.5514, 0.8737)
Tb (0.5157, 0.1558, 0.6868)
Dy (0.0888, 0.9423, 0.0464)